No. 1
First-principles (PBE) data for an optimized crystal structure of YThAg, as listed in Alexandria.

## Properties
Symmetry = I4mm, No. 107
ΔH_f (0 K) = -10 kJ per mole of atoms
ρ = 8.51 Mg/m³
Distance to the lowest polymorph of the same formula = 0.7 kJ/mol of atoms
Volume = 27.898 A^3/atom

Cell: 6.9321 6.9321 6.9321 Å, 149.87 149.87 43.13°
Atoms (fractional coordinates):
Y: 0.0000 0.0000 0.0000
Th: 0.6927 0.6927 0.0000
Ag: 0.3572 0.3572 0.0000

No. 2
First-principles (PBE) data for an optimized crystal structure of Y3Th5Ag12, as listed in Alexandria.

## Properties
Symmetry = Ia-3d, No. 230
ΔH_f (0 K) = 39 kJ per mole of atoms
ρ = 7.36 Mg/m³
Volume = 30.712 A^3/atom

Cell: 14.7234 14.7234 14.7234 Å, 109.47 109.47 109.47°
Atoms (fractional coordinates):
Y: 0.1250 0.2500 0.3750
Y: 0.1250 0.3750 0.7500
Y: 0.2500 0.3750 0.1250
Y: 0.2500 0.8750 0.6250
Y: 0.3750 0.1250 0.2500
Y: 0.3750 0.7500 0.1250
Y: 0.6250 0.2500 0.8750
Y: 0.6250 0.8750 0.7500
Y: 0.7500 0.1250 0.3750
Y: 0.7500 0.6250 0.8750
Y: 0.8750 0.6250 0.2500
Y: 0.8750 0.7500 0.6250
Th: 0.0000 0.0000 0.0000
Th: 0.0000 0.0000 0.5000
Th: 0.0000 0.5000 0.0000
Th: 0.0000 0.5000 0.5000
Th: 0.1250 0.7500 0.8750
Th: 0.1250 0.8750 0.2500
Th: 0.2500 0.1250 0.8750
Th: 0.2500 0.6250 0.3750
Th: 0.3750 0.2500 0.6250
Th: 0.3750 0.6250 0.7500
Th: 0.5000 0.0000 0.0000
Th: 0.5000 0.0000 0.5000
Th: 0.5000 0.5000 0.0000
Th: 0.5000 0.5000 0.5000
Th: 0.6250 0.3750 0.2500
Th: 0.6250 0.7500 0.3750
Th: 0.7500 0.3750 0.6250
Th: 0.7500 0.8750 0.1250
Th: 0.8750 0.1250 0.7500
Th: 0.8750 0.2500 0.1250
Ag: 0.0759 0.6525 0.4184
Ag: 0.0759 0.9235 0.6576
Ag: 0.0765 0.2341 0.1525
Ag: 0.0765 0.3424 0.9241
Ag: 0.0816 0.7341 0.6576
Ag: 0.0816 0.8475 0.4241
Ag: 0.1525 0.0765 0.2341
Ag: 0.1525 0.5759 0.9184
Ag: 0.1576 0.2341 0.5816
Ag: 0.1576 0.4235 0.5759
Ag: 0.2341 0.1525 0.0765
Ag: 0.2341 0.5816 0.1576
Ag: 0.2659 0.3424 0.9184
Ag: 0.2659 0.4235 0.3475
Ag: 0.3424 0.9184 0.2659
Ag: 0.3424 0.9241 0.0765
Ag: 0.3475 0.2659 0.4235
Ag: 0.3475 0.5816 0.9241
Ag: 0.4184 0.0759 0.6525
Ag: 0.4184 0.8424 0.7659
Ag: 0.4235 0.3475 0.2659
Ag: 0.4235 0.5759 0.1576
Ag: 0.4241 0.0816 0.8475
Ag: 0.4241 0.8424 0.5765
Ag: 0.5759 0.1576 0.4235
Ag: 0.5759 0.9184 0.1525
Ag: 0.5765 0.4241 0.8424
Ag: 0.5765 0.6525 0.7341
Ag: 0.5816 0.1576 0.2341
Ag: 0.5816 0.9241 0.3475
Ag: 0.6525 0.4184 0.0759
Ag: 0.6525 0.7341 0.5765
Ag: 0.6576 0.0759 0.9235
Ag: 0.6576 0.0816 0.7341
Ag: 0.7341 0.5765 0.6525
Ag: 0.7341 0.6576 0.0816
Ag: 0.7659 0.4184 0.8424
Ag: 0.7659 0.8475 0.9235
Ag: 0.8424 0.5765 0.4241
Ag: 0.8424 0.7659 0.4184
Ag: 0.8475 0.4241 0.0816
Ag: 0.8475 0.9235 0.7659
Ag: 0.9184 0.1525 0.5759
Ag: 0.9184 0.2659 0.3424
Ag: 0.9235 0.6576 0.0759
Ag: 0.9235 0.7659 0.8475
Ag: 0.9241 0.0765 0.3424
Ag: 0.9241 0.3475 0.5816

No. 3
First-principles (PBE) data for an optimized crystal structure of Y2ThAg, as listed in Alexandria.

## Properties
Symmetry = P4/mmm, No. 123
ΔH_f (0 K) = 4 kJ per mole of atoms
ρ = 7.64 Mg/m³
Distance to the lowest polymorph of the same formula = 18.3 kJ/mol of atoms
Volume = 28.113 A^3/atom

Cell: 5.5884 5.5884 3.6008 Å, 90.00 90.00 90.00°
Atoms (fractional coordinates):
Y: 0.0000 0.5000 0.0000
Y: 0.5000 0.0000 0.0000
Th: 0.0000 0.0000 0.5000
Ag: 0.5000 0.5000 0.5000

No. 4
First-principles (PBE) data for an optimized crystal structure of YThAg3, as listed in Alexandria.

## Properties
Symmetry = Cmcm, No. 63
ΔH_f (0 K) = -19 kJ per mole of atoms
ρ = 8.95 Mg/m³
Volume = 23.911 A^3/atom

Cell: 14.4038 14.4038 4.8525 Å, 90.00 90.00 166.26°
Atoms (fractional coordinates):
Y: 0.2103 0.7897 0.7500
Y: 0.7897 0.2103 0.2500
Th: 0.0747 0.9253 0.2500
Th: 0.9253 0.0747 0.7500
Ag: 0.3226 0.6774 0.7500
Ag: 0.3781 0.6219 0.2500
Ag: 0.4759 0.5241 0.2500
Ag: 0.5241 0.4759 0.7500
Ag: 0.6219 0.3781 0.7500
Ag: 0.6774 0.3226 0.2500

No. 5
First-principles (PBE) data for an optimized crystal structure of Y2ThAg, as listed in Alexandria.

## Properties
Symmetry = R-3m, No. 166
ΔH_f (0 K) = -1 kJ per mole of atoms
ρ = 7.41 Mg/m³
Distance to the lowest polymorph of the same formula = 12.6 kJ/mol of atoms
Volume = 29.010 A^3/atom

Cell: 10.5766 10.5766 10.5766 Å, 19.57 19.57 19.57°
Atoms (fractional coordinates):
Y: 0.2418 0.2418 0.2418
Y: 0.7582 0.7582 0.7582
Th: 0.0000 0.0000 0.0000
Ag: 0.5000 0.5000 0.5000

No. 6
First-principles (PBE) data for an optimized crystal structure of YThAg, as listed in Alexandria.

## Properties
Symmetry = P3m1, No. 156
ΔH_f (0 K) = 12 kJ per mole of atoms
ρ = 8.44 Mg/m³
Distance to the lowest polymorph of the same formula = 22.4 kJ/mol of atoms
Volume = 28.109 A^3/atom

Cell: 5.1508 5.1508 3.6702 Å, 90.00 90.00 120.00°
Atoms (fractional coordinates):
Y: 0.0000 0.0000 0.0000
Th: 0.3333 0.6667 0.4652
Ag: 0.6667 0.3333 0.8451

No. 7
First-principles (PBE) data for an optimized crystal structure of Y3ThAg2, as listed in Alexandria.

## Properties
Symmetry = P4/mmm, No. 123
ΔH_f (0 K) = -20 kJ per mole of atoms
ρ = 7.38 Mg/m³
Volume = 26.808 A^3/atom

Cell: 3.6335 3.6335 12.1832 Å, 90.00 90.00 90.00°
Atoms (fractional coordinates):
Y: 0.0000 0.0000 0.0000
Y: 0.0000 0.0000 0.3015
Y: 0.0000 0.0000 0.6985
Th: 0.5000 0.5000 0.5000
Ag: 0.5000 0.5000 0.1495
Ag: 0.5000 0.5000 0.8505

No. 8
First-principles (PBE) data for an optimized crystal structure of Y4ThAg, as listed in Alexandria.

## Properties
Symmetry = P4/mmm, No. 123
ΔH_f (0 K) = -8 kJ per mole of atoms
ρ = 6.44 Mg/m³
Volume = 29.913 A^3/atom

Cell: 3.5935 3.5935 13.8987 Å, 90.00 90.00 90.00°
Atoms (fractional coordinates):
Y: 0.0000 0.0000 0.1338
Y: 0.0000 0.0000 0.8662
Y: 0.5000 0.5000 0.3246
Y: 0.5000 0.5000 0.6754
Th: 0.0000 0.0000 0.5000
Ag: 0.5000 0.5000 0.0000

No. 9
First-principles (PBE) data for an optimized crystal structure of YThAg, as listed in Alexandria.

## Properties
Symmetry = Cmcm, No. 63
ΔH_f (0 K) = -10 kJ per mole of atoms
ρ = 8.58 Mg/m³
Distance to the lowest polymorph of the same formula = 0.0 kJ/mol of atoms
Volume = 27.675 A^3/atom

Cell: 8.6613 8.6613 5.4562 Å, 90.00 90.00 156.07°
Atoms (fractional coordinates):
Y: 0.0833 0.9167 0.7500
Y: 0.9167 0.0833 0.2500
Th: 0.2251 0.7749 0.2500
Th: 0.7749 0.2251 0.7500
Ag: 0.4351 0.5649 0.7500
Ag: 0.5649 0.4351 0.2500

No. 10
First-principles (PBE) data for an optimized crystal structure of Y2ThAg3, as listed in Alexandria.

## Properties
Symmetry = P4/mmm, No. 123
ΔH_f (0 K) = -22 kJ per mole of atoms
ρ = 8.18 Mg/m³
Volume = 24.822 A^3/atom

Cell: 3.6067 3.6067 11.4488 Å, 90.00 90.00 90.00°
Atoms (fractional coordinates):
Y: 0.0000 0.0000 0.1610
Y: 0.0000 0.0000 0.8390
Th: 0.0000 0.0000 0.5000
Ag: 0.5000 0.5000 0.0000
Ag: 0.5000 0.5000 0.3182
Ag: 0.5000 0.5000 0.6818

No. 11
First-principles (PBE) data for an optimized crystal structure of Y2ThAg, as listed in Alexandria.

## Properties
Symmetry = P4/mmm, No. 123
ΔH_f (0 K) = -14 kJ per mole of atoms
ρ = 7.68 Mg/m³
Distance to the lowest polymorph of the same formula = 0.0 kJ/mol of atoms
Volume = 27.970 A^3/atom

Cell: 3.6352 3.6352 8.4663 Å, 90.00 90.00 90.00°
Atoms (fractional coordinates):
Y: 0.0000 0.0000 0.2167
Y: 0.0000 0.0000 0.7833
Th: 0.5000 0.5000 0.5000
Ag: 0.5000 0.5000 0.0000

No. 12
First-principles (PBE) data for an optimized crystal structure of Y2ThAg, as listed in Alexandria.

## Properties
Symmetry = R3m, No. 160
ΔH_f (0 K) = 2 kJ per mole of atoms
ρ = 7.36 Mg/m³
Distance to the lowest polymorph of the same formula = 16.0 kJ/mol of atoms
Volume = 29.194 A^3/atom

Cell: 10.7419 10.7419 10.7419 Å, 19.17 19.17 19.17°
Atoms (fractional coordinates):
Y: 0.0000 0.0000 0.0000
Y: 0.1860 0.1860 0.1860
Th: 0.4267 0.4267 0.4267
Ag: 0.5928 0.5928 0.5928

No. 13
First-principles (PBE) data for an optimized crystal structure of Th3Zn6Ag5, as listed in Alexandria.

## Properties
Symmetry = Immm, No. 71
ΔH_f (0 K) = -16 kJ per mole of atoms
ρ = 9.52 Mg/m³
Volume = 20.272 A^3/atom

Cell: 8.4310 8.4310 8.4310 Å, 148.41 113.04 75.93°
Atoms (fractional coordinates):
Th: 0.0000 0.0000 0.0000
Th: 0.2931 0.2931 0.0000
Th: 0.7069 0.7069 0.0000
Zn: 0.1521 0.8645 0.2876
Zn: 0.3223 0.5000 0.8223
Zn: 0.4231 0.1355 0.2876
Zn: 0.5769 0.8645 0.7124
Zn: 0.6777 0.5000 0.1777
Zn: 0.8479 0.1355 0.7124
Ag: 0.0103 0.6587 0.3515
Ag: 0.3072 0.6587 0.6485
Ag: 0.5000 0.0000 0.5000
Ag: 0.6928 0.3413 0.3515
Ag: 0.9897 0.3413 0.6485

No. 14
First-principles (PBE) data for an optimized crystal structure of Th2Zn12Ag5, as listed in Alexandria.

## Properties
Symmetry = R-3m, No. 166
ΔH_f (0 K) = -15 kJ per mole of atoms
ρ = 8.86 Mg/m³
Volume = 17.637 A^3/atom

Cell: 6.9953 6.9953 6.9953 Å, 82.93 82.93 82.93°
Atoms (fractional coordinates):
Th: 0.1565 0.1565 0.1565
Th: 0.8435 0.8435 0.8435
Zn: 0.1475 0.1475 0.6666
Zn: 0.1475 0.6666 0.1475
Zn: 0.2021 0.5000 0.7979
Zn: 0.2021 0.7979 0.5000
Zn: 0.3334 0.8525 0.8525
Zn: 0.5000 0.2021 0.7979
Zn: 0.5000 0.7979 0.2021
Zn: 0.6666 0.1475 0.1475
Zn: 0.7979 0.2021 0.5000
Zn: 0.7979 0.5000 0.2021
Zn: 0.8525 0.3334 0.8525
Zn: 0.8525 0.8525 0.3334
Ag: 0.0000 0.5000 0.5000
Ag: 0.3964 0.3964 0.3964
Ag: 0.5000 0.0000 0.5000
Ag: 0.5000 0.5000 0.0000
Ag: 0.6036 0.6036 0.6036

No. 15
First-principles (PBE) data for an optimized crystal structure of ThZn4Ag2, as listed in Alexandria.

## Properties
Symmetry = C2/m, No. 12
ΔH_f (0 K) = -13 kJ per mole of atoms
ρ = 9.17 Mg/m³
Volume = 18.360 A^3/atom

Cell: 5.5135 5.5135 5.4164 Å, 117.93 117.93 77.19°
Atoms (fractional coordinates):
Th: 0.0000 0.0000 0.0000
Zn: 0.9997 0.3764 0.6719
Zn: 0.0003 0.6236 0.3281
Zn: 0.3764 0.9997 0.6719
Zn: 0.6236 0.0003 0.3281
Ag: 0.4783 0.4783 0.2290
Ag: 0.5217 0.5217 0.7710

No. 16
First-principles (PBE) data for an optimized crystal structure of Th2Zn3Ag2, as listed in Alexandria.

## Properties
Symmetry = Cmcm, No. 63
ΔH_f (0 K) = -17 kJ per mole of atoms
ρ = 9.56 Mg/m³
Volume = 21.727 A^3/atom

Cell: 9.7047 9.7047 7.5068 Å, 90.00 90.00 154.52°
Atoms (fractional coordinates):
Th: 0.0559 0.9441 0.7500
Th: 0.1532 0.8468 0.2500
Th: 0.8468 0.1532 0.7500
Th: 0.9441 0.0559 0.2500
Zn: 0.2251 0.7749 0.7500
Zn: 0.4440 0.5560 0.5789
Zn: 0.4440 0.5560 0.9211
Zn: 0.5560 0.4440 0.0789
Zn: 0.5560 0.4440 0.4211
Zn: 0.7749 0.2251 0.2500
Ag: 0.3116 0.6884 0.0542
Ag: 0.3116 0.6884 0.4458
Ag: 0.6884 0.3116 0.5542
Ag: 0.6884 0.3116 0.9458

No. 17
First-principles (PBE) data for an optimized crystal structure of Th3Zn9Ag2, as listed in Alexandria.

## Properties
Symmetry = Immm, No. 71
ΔH_f (0 K) = -24 kJ per mole of atoms
ρ = 9.16 Mg/m³
Volume = 19.436 A^3/atom

Cell: 8.4003 8.4003 8.4003 Å, 148.91 115.46 73.37°
Atoms (fractional coordinates):
Th: 0.0000 0.0000 0.0000
Th: 0.2930 0.2930 0.0000
Th: 0.7070 0.7070 0.0000
Zn: 0.0187 0.6580 0.3607
Zn: 0.1396 0.8592 0.2804
Zn: 0.2973 0.6580 0.6393
Zn: 0.4211 0.1408 0.2804
Zn: 0.5000 0.0000 0.5000
Zn: 0.5789 0.8592 0.7196
Zn: 0.7027 0.3420 0.3607
Zn: 0.8604 0.1408 0.7196
Zn: 0.9813 0.3420 0.6393
Ag: 0.3187 0.5000 0.8187
Ag: 0.6813 0.5000 0.1813

No. 18
First-principles (PBE) data for an optimized crystal structure of Th2Zn2Ag3, as listed in Alexandria.

## Properties
Symmetry = Cmmm, No. 65
ΔH_f (0 K) = -8 kJ per mole of atoms
ρ = 9.85 Mg/m³
Distance to the lowest polymorph of the same formula = 1.8 kJ/mol of atoms
Volume = 22.126 A^3/atom

Cell: 10.4559 10.4559 3.4209 Å, 90.00 90.00 155.54°
Atoms (fractional coordinates):
Th: 0.1556 0.8444 0.0000
Th: 0.8444 0.1556 0.0000
Zn: 0.2834 0.7166 0.5000
Zn: 0.7166 0.2834 0.5000
Ag: 0.0000 0.0000 0.0000
Ag: 0.4315 0.5685 0.5000
Ag: 0.5685 0.4315 0.5000

No. 19
First-principles (PBE) data for an optimized crystal structure of ThZn2Ag, as listed in Alexandria.

## Properties
Symmetry = P4/mmm, No. 123
ΔH_f (0 K) = -10 kJ per mole of atoms
ρ = 9.70 Mg/m³
Volume = 20.150 A^3/atom

Cell: 3.3390 3.3390 7.2294 Å, 90.00 90.00 90.00°
Atoms (fractional coordinates):
Th: 0.0000 0.0000 0.0000
Zn: 0.5000 0.5000 0.2981
Zn: 0.5000 0.5000 0.7019
Ag: 0.0000 0.0000 0.5000

No. 20
First-principles (PBE) data for an optimized crystal structure of ThZnAg3, as listed in Alexandria.

## Properties
Symmetry = Cm, No. 8
ΔH_f (0 K) = -9 kJ per mole of atoms
ρ = 9.87 Mg/m³
Distance to the lowest polymorph of the same formula = 0.0 kJ/mol of atoms
Volume = 20.897 A^3/atom

Cell: 5.2110 5.2110 4.9699 Å, 118.35 118.35 78.18°
Atoms (fractional coordinates):
Th: 0.0000 0.0000 0.0000
Zn: 0.2987 0.2987 0.7972
Ag: 0.3034 0.7107 0.5074
Ag: 0.6905 0.6905 0.1913
Ag: 0.7107 0.3034 0.5074

No. 21
First-principles (PBE) data for an optimized crystal structure of ThZnAg, as listed in Alexandria.

## Properties
Symmetry = I4mm, No. 107
ΔH_f (0 K) = 53 kJ per mole of atoms
ρ = 8.69 Mg/m³
Volume = 25.818 A^3/atom

Cell: 7.8696 7.8696 7.8696 Å, 156.49 156.49 33.48°
Atoms (fractional coordinates):
Th: 0.0000 0.0000 0.0000
Zn: 0.2007 0.2007 0.0000
Ag: 0.7989 0.7989 0.0000

No. 22
First-principles (PBE) data for an optimized crystal structure of ThZnAg, as listed in Alexandria.

## Properties
Symmetry = P-6m2, No. 187
ΔH_f (0 K) = -21 kJ per mole of atoms
ρ = 10.02 Mg/m³
Volume = 22.392 A^3/atom

Cell: 4.7701 4.7701 3.4090 Å, 90.00 90.00 120.00°
Atoms (fractional coordinates):
Th: 0.0000 0.0000 0.0000
Zn: 0.6667 0.3333 0.5000
Ag: 0.3333 0.6667 0.5000

Calculated values (μB/f.u.) of size of the total moment for the records, taken in order: 0.00; 0.00; 0.00; 0.00; 0.00; 0.00; 0.00; 0.00; 0.00; 0.00; 0.00; 0.00; 0.00; 0.00; 0.00; 0.00; 0.00; 0.00; 0.00; 0.00; 0.00; 0.00.